Entry 1:
Entry from Alexandria via LeMat-Bulk: crystalline LiHgSbO4 at its relaxed geometry (PBE).

## Properties
**Energy relative to the elements, uncorrected**: -1.11 eV/atom

Cell: 5.0639 5.0639 5.6735 Å, 116.51 116.51 90.00°
With the nearest neighbours (Å) after each atom.
Fractional positions:
Li (0.2500, 0.7500, 0.5000)  4 O 1.94
Hg (0.0000, 0.0000, 0.0000)  4 O 2.30
Sb (0.5000, 0.5000, 0.0000)  4 O 1.91
O (0.1890, 0.1284, 0.7534)  1 Sb 1.91, 1 Li 1.94
O (0.3750, 0.8110, 0.2466)  1 Sb 1.91, 1 Li 1.94
O (0.5644, 0.6250, 0.7534)  1 Sb 1.91, 1 Li 1.94
O (0.8716, 0.4356, 0.2466)  1 Sb 1.91, 1 Li 1.94

=====

Entry 2:
Entry from Alexandria via LeMat-Bulk: crystalline NaZrCu2Cl8 at its relaxed geometry (PBE).

## Properties
**Energy relative to the elements, uncorrected**: -1.23 eV/atom

Cell: 6.6738 6.7057 7.9254 Å, 74.31 88.93 98.83°
With the nearest neighbours (Å) after each atom.
Fractional positions:
Na (0.0000, 0.0000, 0.5000)  6 Cl 2.76-2.97
Zr (0.0000, 0.0000, 0.0000)  6 Cl 2.46-2.57
Cu (0.4662, 0.4133, 0.6884)  3 Cl 2.20-2.27
Cu (0.5338, 0.5867, 0.3116)  3 Cl 2.20-2.27
Cl (0.1167, 0.7713, 0.2687)  1 Zr 2.48
Cl (0.6482, 0.7689, 0.0439)  1 Cu 2.20
Cl (0.8820, 0.2131, 0.1776)  1 Zr 2.46
Cl (0.8833, 0.2287, 0.7313)  1 Zr 2.48
Cl (0.3518, 0.2311, 0.9561)  1 Cu 2.20
Cl (0.1180, 0.7869, 0.8224)  1 Zr 2.46
Cl (0.5925, 0.7356, 0.5356)  2 Cu 2.20-2.27
Cl (0.4075, 0.2644, 0.4644)  2 Cu 2.20-2.27

=====

Entry 3:
Entry from Alexandria via LeMat-Bulk: crystalline Tl2Bi4O9 at its relaxed geometry (PBE).

## Properties
**Energy relative to the elements, uncorrected**: -0.99 eV/atom

Cell: 6.0922 6.0929 15.1519 Å, 89.99 90.00 60.02°
With the nearest neighbours (Å) after each atom.
Fractional positions:
Tl (0.9997, 0.0001, 0.3588)  6 O 2.32-2.38
Tl (0.9997, 0.0001, 0.1410)  6 O 2.32-2.38
Tl (0.0003, 0.9999, 0.6412)  6 O 2.32-2.38
Tl (0.0003, 0.9999, 0.8590)  6 O 2.32-2.38
Bi (0.3334, 0.3333, 0.9711)  6 O 2.34-2.47
Bi (0.3332, 0.3334, 0.4712)  6 O 2.34-2.48
Bi (0.6666, 0.6667, 0.0289)  6 O 2.34-2.47
Bi (0.3329, 0.3335, 0.1923)  6 O 2.38-2.40
Bi (0.6668, 0.6666, 0.5288)  6 O 2.34-2.48
Bi (0.6663, 0.6668, 0.3076)  6 O 2.38-2.40
Bi (0.3337, 0.3332, 0.6924)  6 O 2.38-2.40
Bi (0.6671, 0.6665, 0.8077)  6 O 2.38-2.40
O (0.0008, 0.2801, 0.7503)  2 Tl 2.37-2.38, 2 Bi 2.38
O (0.2807, 0.7194, 0.7501)  2 Tl 2.38, 2 Bi 2.38
O (0.7200, 0.0001, 0.7500)  2 Tl 2.37-2.38, 2 Bi 2.38
O (0.9992, 0.7199, 0.2497)  2 Tl 2.37-2.38, 2 Bi 2.38
O (0.7193, 0.2806, 0.2499)  2 Tl 2.38, 2 Bi 2.38
O (0.2800, 0.9999, 0.2500)  2 Tl 2.37-2.38, 2 Bi 2.38
O (0.6947, 0.9264, 0.4207)  1 Tl 2.32, 3 Bi 2.34-2.48
O (0.9263, 0.3792, 0.4208)  1 Tl 2.32, 3 Bi 2.34-2.47
O (0.3786, 0.6948, 0.4208)  1 Tl 2.32, 3 Bi 2.34-2.47
O (0.6206, 0.0740, 0.0791)  1 Tl 2.32, 3 Bi 2.34-2.47
O (0.3051, 0.6210, 0.0791)  1 Tl 2.32, 3 Bi 2.34-2.47
O (0.0738, 0.3050, 0.0791)  1 Tl 2.32, 3 Bi 2.34-2.47
O (0.3053, 0.0736, 0.5793)  1 Tl 2.32, 3 Bi 2.34-2.48
O (0.0737, 0.6208, 0.5792)  1 Tl 2.32, 3 Bi 2.34-2.47
O (0.6214, 0.3052, 0.5792)  1 Tl 2.32, 3 Bi 2.34-2.47
O (0.3794, 0.9260, 0.9209)  1 Tl 2.32, 3 Bi 2.34-2.47
O (0.6949, 0.3790, 0.9209)  1 Tl 2.32, 3 Bi 2.34-2.47
O (0.9262, 0.6950, 0.9209)  1 Tl 2.32, 3 Bi 2.34-2.47

=====

Entry 4:
Entry from Alexandria via LeMat-Bulk: crystalline Ca2La3Nd4 at its relaxed geometry (PBE).

## Properties
**Energy relative to the elements**: 0.059 eV/atom

Cell: 6.4774 6.4968 13.5295 Å, 119.19 103.68 120.04°
With the nearest neighbours (Å) after each atom.
Fractional positions:
Ca (0.7770, 0.5554, 0.3335)  5 La 3.68-3.82, 6 Nd 3.70-3.82, 1 Ca 3.71
Ca (0.2230, 0.4446, 0.6665)  5 La 3.68-3.82, 6 Nd 3.70-3.82, 1 Ca 3.71
La (0.5745, 0.1205, 0.6720)  6 Nd 3.65-3.83, 4 Ca 3.68-3.82, 2 La 3.70-3.78
La (0.0000, 0.0000, 0.0000)  8 Nd 3.67-3.79, 2 La 3.70, 2 Ca 3.73
La (0.4255, 0.8795, 0.3280)  6 Nd 3.65-3.83, 4 Ca 3.68-3.82, 2 La 3.70-3.78
Nd (0.6719, 0.3456, 0.0000)  5 Nd 3.65-3.89, 5 La 3.65-3.79, 2 Ca 3.75-3.78
Nd (0.3281, 0.6544, 0.0000)  5 Nd 3.65-3.89, 5 La 3.65-3.79, 2 Ca 3.75-3.78
Nd (0.8925, 0.7807, 0.6733)  3 Nd 3.65-3.82, 5 La 3.67-3.83, 4 Ca 3.70-3.82
Nd (0.1075, 0.2193, 0.3267)  3 Nd 3.65-3.82, 5 La 3.67-3.83, 4 Ca 3.70-3.82